This record from Alexandria via LeMat-Bulk describes a relaxed structure of Ac8TlAu2. The functional is PBE.

The calculation puts the formation energy at -0.311 eV per atom.

Cell lengths 20.342, 5.664, 7.708 Å; angles 90.00, 108.84, 90.00 degrees
Space group C2/m (No. 12)
Inequivalent atoms, fractional coordinates:
1 Ac 0.027 0.000 0.273 [4 per cell]
2 Ac 0.093 0.500 0.975 [4 per cell]
3 Ac 0.175 0.500 0.495 [4 per cell]
4 Ac 0.197 0.000 0.847 [4 per cell]
5 Tl 0.000 0.500 0.500 [2 per cell]
6 Au 0.175 0.000 0.234 [4 per cell]